# SmDyGa2

Crystalline SmDyGa2 at its relaxed geometry (PBE, the Alexandria database).

```
data_SmDyGa2
_chemical_formula_sum 'Sm1 Dy1 Ga2'
_cell_length_a 3.614
_cell_length_b 3.614
_cell_length_c 7.199
_cell_angle_alpha 90.00
_cell_angle_beta 90.00
_cell_angle_gamma 90.00
_symmetry_space_group_name_H-M 'P 4/m m m'
_symmetry_Int_Tables_number 123
_symmetry_space_group_name_Hall '-P 4 2'
loop_
_atom_site_label
_atom_site_type_symbol
_atom_site_fract_x
_atom_site_fract_y
_atom_site_fract_z
_atom_site_occupancy
Sm1 Sm 0.000 0.000 0.000 1
Dy1 Dy 0.000 0.000 0.500 1
Ga1 Ga 0.500 0.500 0.259 1
```

ΔH_f (0 K)	-582	meV/atom
energy above the most stable polymorph in this dataset	33	meV per atom
total DFT energy (no corrections)	-4.4262	eV/atom
magnetic moment	0.0000	μB/atom